Here is a geometry-optimized NaScMnSe3 structure from Alexandria. Energies are from PBE.

Results
formation energy without anion corrections: -1146 meV per atom

a b c (Å): 3.960 7.158 10.589
angles (deg): 90.00 90.00 106.06
Sites, in units of the cell vectors:
Mn: 0.468 0.936 0.750
Mn: 0.532 0.064 0.250
Se: 0.080 0.161 0.750
Se: 0.631 0.262 0.058
Se: 0.920 0.839 0.250
Se: 0.631 0.262 0.442
Se: 0.369 0.738 0.942
Se: 0.369 0.738 0.558
Na: 0.754 0.509 0.750
Na: 0.246 0.491 0.250
Sc: 0.000 0.000 0.500
Sc: 0.000 0.000 0.000

Here is a geometry-optimized CoSiAs2 structure from Alexandria. Energies are from PBE.

Results
formation energy without anion corrections: 401 meV per atom

a b c (Å): 4.389 4.389 3.246
angles (deg): 90.00 90.00 104.01
Sites, in units of the cell vectors:
As: 0.000 0.000 0.000
As: 0.500 0.500 0.000
Co: 0.500 0.000 0.500
Si: 0.000 0.500 0.500

Here is a geometry-optimized LaInTeO6 structure from Alexandria. Energies are from PBE.

Results
formation energy without anion corrections: -1948 meV per atom

a b c (Å): 5.466 5.466 10.285
angles (deg): 90.00 90.00 120.00
Sites, in units of the cell vectors:
O: 0.379 0.032 0.141
O: 0.968 0.621 0.359
O: 0.621 0.968 0.859
O: 0.032 0.653 0.859
O: 0.379 0.347 0.359
O: 0.968 0.347 0.141
O: 0.653 0.032 0.359
O: 0.621 0.653 0.641
O: 0.032 0.379 0.641
O: 0.653 0.621 0.141
O: 0.347 0.968 0.641
O: 0.347 0.379 0.859
Te: 0.667 0.333 0.250
Te: 0.333 0.667 0.750
In: 0.333 0.667 0.250
In: 0.667 0.333 0.750
La: 0.000 0.000 0.500
La: 0.000 0.000 0.000

| no. | size of the total moment (Bohr magnetons per cell) |
| --- | --- |
| 1 | 9.9 |
| 2 | 0.0 |
| 3 | 0.0 |